# Au2Se | the Alexandria database | PBE | relaxed
# ΔE_f (raw)	0.36	eV per atom
data_Au2Se
_chemical_formula_sum 'Au2 Se1'
_cell_length_a 4.920
_cell_length_b 4.920
_cell_length_c 2.863
_cell_angle_alpha 90.00
_cell_angle_beta 90.00
_cell_angle_gamma 90.00
_symmetry_space_group_name_H-M 'P 4/m m m'
_symmetry_Int_Tables_number 123
_symmetry_space_group_name_Hall '-P 4 2'
loop_
_atom_site_label
_atom_site_fract_x
_atom_site_fract_y
_atom_site_fract_z
_atom_site_occupancy
Au1 0.000 0.500 0.000 1
Se1 0.000 0.000 0.500 1